Here is a geometry-optimized NiAuSe3 structure from the Alexandria database. Energies are from PBE.

Cell: 4.7090 4.7090 4.7090 Å, 90.00 90.00 90.00°
With the nearest neighbours (Å) after each atom.
Element x y z (fractional)
Ni 0.0000 0.0000 0.0000  6 Se 2.35
Au 0.5000 0.5000 0.5000  12 Se 3.33
Se 0.0000 0.5000 0.0000  2 Ni 2.35
Se 0.0000 0.0000 0.5000  2 Ni 2.35
Se 0.5000 0.0000 0.0000  2 Ni 2.35

Summary:
Its symmetry is Pm-3m. The value obtained for the raw total energy is -3.39 eV per atom. The calculation puts the mass density at 7.83 Mg/m³. As for the energy above the most stable polymorph in this dataset: 0.00 kJ/mol of atoms. The value obtained for the uncorrected formation energy is 0.5149 eV per atom.